10
Lattice="7.0105 0.0000 0.0000 0.0000 7.0105 0.0000 0.0000 0.0000 3.8479" Properties=species:S:1:pos:R:3 comment="MnIn2Pt2 PBE-GGA optimized geometry" magnetic_moment_mub_per_atom=0.8792 delta_e_f_mev_per_atom=-288 relative_energy_mev_per_atom=84 pbc="T T T"
Mn 0.0000 0.0000 0.0000
Mn 3.5053 3.5053 0.0000
Pt 2.5053 6.0106 0.0000
Pt 6.0106 4.5052 0.0000
Pt 4.5052 0.9999 0.0000
Pt 0.9999 2.5053 0.0000
In 1.1370 4.6423 1.9239
In 4.6423 5.8735 1.9239
In 5.8735 2.3682 1.9239
In 2.3682 1.1370 1.9239

4
Lattice="-2.5432 0.5978 -3.7200 -0.5853 -3.4275 -2.9280 -4.0503 -2.0362 -0.3355" Properties=species:S:1:pos:R:3 comment="MnInPt2 PBE-GGA optimized geometry" magnetic_moment_mub_per_atom=0.9630 delta_e_f_mev_per_atom=-224 pbc="T T T"
In -3.5894 -2.4330 -3.4917
Mn -5.3841 -3.6494 -5.2376
Pt 0.0000 0.0000 0.0000
Pt -1.7947 -1.2165 -1.7459

4
Lattice="-3.9581 2.9917 0.9707 -3.8468 -2.4878 2.1383 4.9494 0.3129 0.9822" Properties=species:S:1:pos:R:3 comment="MnInPt2 PBE-GGA optimized geometry" magnetic_moment_mub_per_atom=1.0630 delta_e_f_mev_per_atom=-366 pbc="T T T"
Mn -1.3994 -0.9615 2.3373
Pt -0.0008 0.0001 0.0003
Pt -1.4557 1.7783 1.7538
In -3.9018 0.2519 1.5543

6
Lattice="4.1180 1.2916 3.1143 -0.6575 0.3559 5.2693 2.1628 -3.6575 3.2046" Properties=species:S:1:pos:R:3 comment="MnInPt4 PBE-GGA optimized geometry" magnetic_moment_mub_per_atom=0.8031 delta_e_f_mev_per_atom=-145 relative_energy_mev_per_atom=16 pbc="T T T"
Mn 0.0000 0.0000 0.0000
In 4.2175 -1.5075 8.6911
Pt 4.1683 -0.1076 5.9027
Pt 3.1903 -2.5831 5.9479
Pt 1.7796 -0.5756 6.9807
Pt 2.1085 -0.7536 4.3450